Below is ErHfTcIr after structural relaxation, with properties calculated at the PBE level.

Output
The formation energy is -14.254 kcal/mol of atoms. The value obtained for the calculated density is 14.46 Mg/m³. The symmetry is F-43m, No. 216.

Cell lengths 6.6346, 6.6346, 6.6346 Å; angles 90.00, 90.00, 90.00 degrees
Atoms (fractional coordinates):
1 Er 0.0000 0.0000 0.0000
2 Er 0.0000 0.5000 0.5000
3 Er 0.5000 0.0000 0.5000
4 Er 0.5000 0.5000 0.0000
5 Hf 0.0000 0.0000 0.5000
6 Hf 0.0000 0.5000 0.0000
7 Hf 0.5000 0.0000 0.0000
8 Hf 0.5000 0.5000 0.5000
9 Tc 0.2500 0.2500 0.7500
10 Tc 0.2500 0.7500 0.2500
11 Tc 0.7500 0.2500 0.2500
12 Tc 0.7500 0.7500 0.7500
13 Ir 0.2500 0.2500 0.2500
14 Ir 0.2500 0.7500 0.7500
15 Ir 0.7500 0.2500 0.7500
16 Ir 0.7500 0.7500 0.2500